The following is a PBE calculation of a geometry-optimized PmUPd6 structure, from the Alexandria database.

**Energy relative to the elements**: -66.6 kJ per mole of atoms
**Space-group type**: No. 123

Cell: 4.159 4.159 8.322 Å, 90.00 90.00 90.00°
Element x y z (fractional)
1 Pm 0.000 0.000 0.000
2 U 0.000 0.000 0.500
3 Pd 0.000 0.500 0.258
4 Pd 0.000 0.500 0.742
5 Pd 0.500 0.000 0.258
6 Pd 0.500 0.000 0.742
7 Pd 0.500 0.500 0.000
8 Pd 0.500 0.500 0.500

---

The following is a PBE calculation of a geometry-optimized PmU2Pd9 structure, from the Alexandria database.

**Energy relative to the elements**: -60.8 kJ per mole of atoms
**Space-group type**: No. 123

Cell: 4.157 4.157 12.477 Å, 90.00 90.00 90.00°
Element x y z (fractional)
1 Pm 0.000 0.000 0.000
2 U 0.000 0.000 0.333
3 U 0.000 0.000 0.667
4 Pd 0.000 0.500 0.172
5 Pd 0.000 0.500 0.500
6 Pd 0.000 0.500 0.828
7 Pd 0.500 0.000 0.172
8 Pd 0.500 0.000 0.500
9 Pd 0.500 0.000 0.828
10 Pd 0.500 0.500 0.000
11 Pd 0.500 0.500 0.335
12 Pd 0.500 0.500 0.665

---

Number 1: spin magnetization 1.949 Bohr magnetons per cell, mass density 11.78 g/cm3, E_tot -0.4843 Ry per atom. Number 2: spin magnetization 4.219 Bohr magnetons per cell, mass density 12.16 g/cm3, E_tot -0.4999 Ry per atom.